# 1
Entry from Alexandria via LeMat-Bulk: a relaxed CdFe2W crystal (PBE-GGA).

a = 4.8689 Å, b = 2.6367 Å, c = 5.1245 Å
α = 90.00°, β = 114.49°, γ = 90.00°
Last column: nearest neighbours and their distance in Å.
Element x y z (fractional)
1 Cd 0.0000 0.0000 0.0000  2 Cd 2.64, 6 Fe 2.71-2.77, 4 W 2.88
2 Fe 0.5000 0.0000 0.5000  6 Fe 2.64-2.88, 2 Cd 2.71, 4 W 2.77
3 Fe 0.5000 0.5000 0.0000  6 Fe 2.64-2.88, 2 W 2.71, 4 Cd 2.77
4 W 0.0000 0.5000 0.5000  2 W 2.64, 6 Fe 2.71-2.77, 4 Cd 2.88

Properties
As for the space group: P2/m. The density of states at the Fermi level comes out at 1.07 states/eV per atom. The calculation puts the total moment at 1.123 μB per atom. The calculation puts the density at 11.3 g/cm³. The calculated formation energy comes out at 557 meV per atom. Its total energy is -7.142 eV per atom.

=====

# 2
Entry from Alexandria via LeMat-Bulk: a relaxed UBeSi crystal (PBE-GGA).

a = 3.7852 Å, b = 3.7852 Å, c = 4.0558 Å
α = 90.00°, β = 90.00°, γ = 120.00°
Last column: nearest neighbours and their distance in Å.
Element x y z (fractional)
1 U 0.0000 0.0000 0.0000  6 Be 2.98, 6 Si 2.98
2 Be 0.6667 0.3333 0.5000  3 Si 2.19
3 Si 0.3333 0.6667 0.5000  3 Be 2.19

Properties
As for the space group: P-6m2. The density of states at the Fermi level comes out at 2.33 states/eV per atom. The calculation puts the total moment at 0.710 μB per atom. The calculation puts the density at 9.1 g/cm³. Its energy relative to the elements, uncorrected is -0.21 eV/atom. Its total energy is -7.024 eV per atom.

=====

# 3
Entry from Alexandria via LeMat-Bulk: a relaxed Ca2LuMg crystal (PBE-GGA).

a = 5.7127 Å, b = 5.7127 Å, c = 5.7127 Å
α = 60.00°, β = 60.00°, γ = 60.00°
Last column: nearest neighbours and their distance in Å.
Element x y z (fractional)
1 Ca 0.2500 0.2500 0.2500  4 Mg 3.50, 4 Lu 3.50
2 Ca 0.7500 0.7500 0.7500  4 Lu 3.50, 4 Mg 3.50
3 Lu 0.0000 0.0000 0.0000  8 Ca 3.50
4 Mg 0.5000 0.5000 0.5000  8 Ca 3.50

Properties
As for the space group: Fm-3m. The density of states at the Fermi level comes out at 1.36 states/eV per atom. The calculation puts the total moment at 0.000 μB per atom. The calculation puts the density at 3.5 g/cm³. The calculated formation energy comes out at 130 meV per atom. Its total energy is -2.400 eV per atom. Its distance to the lowest polymorph of the same formula is 14.6 kJ/mol of formula units.

=====

Question: What is the formula in the first record?
Answer: CdFe2W